No. 1
This record from Alexandria via LeMat-Bulk describes crystalline Sr2CaIr2 at its relaxed geometry. The functional is PBE-GGA. Values from VASP.

Values from the calculation:
The value obtained for the energy of formation is -113 meV per atom. Its crystal system is tetragonal. As for the total energy: -4.7301 eV per atom.

The structure in Quantum ESPRESSO input format:
```
&SYSTEM
  ibrav = 0, nat = 10, ntyp = 3
/
ATOMIC_SPECIES
Sr 87.62 Sr.upf
Ca 40.08 Ca.upf
Ir 192.22 Ir.upf
CELL_PARAMETERS angstrom
7.619 0.000 0.000
0.000 7.619 0.000
0.000 0.000 4.723
ATOMIC_POSITIONS crystal
Sr 0.169 0.669 0.500
Sr 0.669 0.831 0.500
Sr 0.831 0.331 0.500
Sr 0.331 0.169 0.500
Ca 0.000 0.000 0.000
Ca 0.500 0.500 0.000
Ir 0.384 0.884 0.000
Ir 0.884 0.616 0.000
Ir 0.616 0.116 0.000
Ir 0.116 0.384 0.000
```

No. 2
This record from Alexandria via LeMat-Bulk describes crystalline AsRhCBr2 at its relaxed geometry. The functional is PBE-GGA. Values from VASP.

Values from the calculation:
Its formation energy from raw total energies is 143 kJ per mole of atoms. Its crystal system is tetragonal. As for the total energy: -3.4370 eV per atom.

The structure in Quantum ESPRESSO input format:
```
&SYSTEM
  ibrav = 0, nat = 5, ntyp = 4
/
ATOMIC_SPECIES
As 74.92 As.upf
Rh 102.91 Rh.upf
C 12.01 C.upf
Br 79.90 Br.upf
CELL_PARAMETERS angstrom
4.627 0.000 0.000
0.000 4.627 0.000
0.000 0.000 4.286
ATOMIC_POSITIONS crystal
As 0.000 0.000 0.500
Rh 0.500 0.500 0.500
C 0.000 0.000 0.000
Br 0.000 0.500 0.000
Br 0.500 0.000 0.000
```

No. 3
This record from Alexandria via LeMat-Bulk describes crystalline Y2Pa3Co2 at its relaxed geometry. The functional is PBE-GGA. Values from VASP.

Values from the calculation:
The value obtained for the energy of formation is -211 meV per atom. Its crystal system is monoclinic. As for the total energy: -8.1583 eV per atom.

The structure in Quantum ESPRESSO input format:
```
&SYSTEM
  ibrav = 0, nat = 7, ntyp = 3
/
ATOMIC_SPECIES
Y 88.91 Y.upf
Pa 231.04 Pa.upf
Co 58.93 Co.upf
CELL_PARAMETERS angstrom
3.456 0.000 0.923
1.352 5.418 1.869
-0.446 0.318 8.602
ATOMIC_POSITIONS crystal
Y 0.164 0.467 0.206
Y 0.836 0.533 0.794
Pa 0.500 0.000 0.000
Pa 0.376 0.814 0.434
Pa 0.624 0.186 0.566
Co 0.114 0.985 0.788
Co 0.886 0.015 0.212
```

No. 4
This record from Alexandria via LeMat-Bulk describes crystalline Pm6AgRu2I3 at its relaxed geometry. The functional is PBE-GGA. Values from VASP.

Values from the calculation:
Its formation energy from raw total energies is -64 kJ per mole of atoms. Its crystal system is monoclinic. As for the total energy: -5.2148 eV per atom.

The structure in Quantum ESPRESSO input format:
```
&SYSTEM
  ibrav = 0, nat = 12, ntyp = 4
/
ATOMIC_SPECIES
Pm 145.00 Pm.upf
Ag 107.87 Ag.upf
Ru 101.07 Ru.upf
I 126.90 I.upf
CELL_PARAMETERS angstrom
7.282 -0.001 0.001
-3.640 6.307 0.001
-1.213 -2.101 8.147
ATOMIC_POSITIONS crystal
Pm 0.937 0.576 0.811
Pm 0.701 0.701 0.188
Pm 0.063 0.424 0.189
Pm 0.576 0.937 0.811
Pm 0.299 0.299 0.812
Pm 0.424 0.063 0.189
Ag 0.000 0.000 0.000
Ru 0.333 0.667 0.000
Ru 0.667 0.333 0.000
I 0.165 0.835 0.500
I 0.835 0.165 0.500
I 0.500 0.500 0.500
```

Number 1: V 274.2 Å³/cell. Number 2: V 91.7 Å³/cell. Number 3: V 161.6 Å³/cell. Number 4: V 374.2 Å³/cell.